[1]
Tb2YHo2Sc2: relaxed, GGA-PBE.

The structure in CIF format:
```
data_Tb2YHo2Sc2
_chemical_formula_sum 'Tb2 Y1 Ho2 Sc2'
_cell_length_a 3.3900
_cell_length_b 8.7578
_cell_length_c 8.1791
_cell_angle_alpha 116.23
_cell_angle_beta 90.00
_cell_angle_gamma 101.16
_space_group_name_H-M_alt 'P 1'
_space_group_IT_number 1
loop_
_space_group_symop_operation_xyz
'x,y,z'
loop_
_atom_site_label
_atom_site_type_symbol
_atom_site_fract_x
_atom_site_fract_y
_atom_site_fract_z
Y1 Y 0.0000 0.0000 0.5000
Tb1 Tb 0.4280 0.8559 0.0857
Tb2 Tb 0.5720 0.1441 0.9143
Sc1 Sc 0.3482 0.6964 0.6068
Sc2 Sc 0.6518 0.3036 0.3932
Ho1 Ho 0.2118 0.4235 0.7900
Ho2 Ho 0.7882 0.5765 0.2100
```

Output
**Calculated formation energy**: 1.27 eV per formula unit
**Density of states at the Fermi level**: 12.2 states/eV per cell
**Volume**: 213 Å³ per cell

[2]
TbYHo2Sc: relaxed, GGA-PBE.

The structure in CIF format:
```
data_TbYHo2Sc
_chemical_formula_sum 'Tb2 Y2 Ho4 Sc2'
_cell_length_a 7.0571
_cell_length_b 8.1242
_cell_length_c 6.9207
_cell_angle_alpha 125.94
_cell_angle_beta 90.00
_cell_angle_gamma 90.00
_space_group_name_H-M_alt 'P 1'
_space_group_IT_number 1
loop_
_space_group_symop_operation_xyz
'x,y,z'
loop_
_atom_site_label
_atom_site_type_symbol
_atom_site_fract_x
_atom_site_fract_y
_atom_site_fract_z
Y1 Y 0.7500 0.7377 0.4755
Y2 Y 0.2500 0.2623 0.5245
Ho1 Ho 0.0000 0.6974 0.0000
Ho2 Ho 0.5000 0.3026 0.0000
Ho3 Ho 0.0000 0.3026 0.0000
Ho4 Ho 0.5000 0.6974 0.0000
Tb1 Tb 0.7500 0.2756 0.5511
Tb2 Tb 0.2500 0.7244 0.4489
Sc1 Sc 0.2500 0.9896 0.9791
Sc2 Sc 0.7500 0.0104 0.0209
```

Output
**Calculated formation energy**: 1.72 eV per formula unit
**Density of states at the Fermi level**: 13.1 states/eV per cell
**Volume**: 321 Å³ per cell

[3]
TbY2Ho2Sc: relaxed, GGA-PBE.

The structure in CIF format:
```
data_TbY2Ho2Sc
_chemical_formula_sum 'Tb2 Y4 Ho4 Sc2'
_cell_length_a 3.3246
_cell_length_b 6.4828
_cell_length_c 17.3597
_cell_angle_alpha 90.00
_cell_angle_beta 90.00
_cell_angle_gamma 90.00
_space_group_name_H-M_alt 'P 1'
_space_group_IT_number 1
loop_
_space_group_symop_operation_xyz
'x,y,z'
loop_
_atom_site_label
_atom_site_type_symbol
_atom_site_fract_x
_atom_site_fract_y
_atom_site_fract_z
Ho1 Ho 0.0000 0.2544 0.1452
Ho2 Ho 0.5000 0.2456 0.6452
Ho3 Ho 0.5000 0.7544 0.3548
Ho4 Ho 0.0000 0.7456 0.8548
Y1 Y 0.5000 0.7462 0.6819
Y2 Y 0.0000 0.2462 0.8181
Y3 Y 0.0000 0.7538 0.1819
Y4 Y 0.5000 0.2538 0.3181
Tb1 Tb 0.5000 0.5000 0.0000
Tb2 Tb 0.0000 0.0000 0.5000
Sc1 Sc 0.5000 0.5000 0.5000
Sc2 Sc 0.0000 0.0000 0.0000
```

Output
**Calculated formation energy**: 1.63 eV per formula unit
**Density of states at the Fermi level**: 17.1 states/eV per cell
**Volume**: 374 Å³ per cell

volume of number 2 (TbYHo2Sc)?
321 Å³ per cell

Look up the volume of the first one.
213 Å³ per cell